## MnReBr2 (PBE-GGA)

Data for a geometry-optimized MnReBr2 structure.

Cell: 4.2510 3.0942 6.1283 Å, 104.38 90.00 90.00°
Closest atoms and distances in Å follow each position.
Positions (direct):
Br1 0.0000 0.8119 0.9973  2 Re 2.59, 2 Mn 2.78
Br2 0.0000 0.6881 0.5027  2 Re 2.59, 2 Mn 2.78
Mn1 0.5000 0.2500 0.2500  4 Br 2.78, 2 Re 3.07, 2 Mn 3.09
Re1 0.5000 0.7500 0.7500  4 Br 2.59

Output
As for the density of states at the Fermi level: 0.8529 states/eV/atom. The volume comes out at 19.5 Å³/atom. The excess energy over the best structure of this formula in the dataset comes out at 2.82 eV/f.u. Its space-group type is P2/m. The total energy comes out at -21.31 eV per cell. The size of the total moment comes out at 4.439 μB/f.u.

---

## YLuTe3 (PBE-GGA)

Data for a geometry-optimized YLuTe3 structure.

Cell: 6.1582 6.1582 10.1984 Å, 90.00 90.00 78.88°
Closest atoms and distances in Å follow each position.
Positions (direct):
Y1 0.2375 0.7625 0.2500  6 Te 2.98-3.25
Y2 0.7625 0.2375 0.7500  6 Te 2.98-3.25
Lu1 0.7902 0.2098 0.2500  4 Te 2.90-3.03
Lu2 0.2098 0.7902 0.7500  4 Te 2.90-3.03
Te1 0.3118 0.2703 0.2500  1 Lu 2.90, 1 Y 2.98
Te2 0.7297 0.6882 0.2500  1 Lu 2.90, 1 Y 2.98
Te3 0.2703 0.3118 0.7500  1 Lu 2.90, 1 Y 2.98
Te4 0.6882 0.7297 0.7500  1 Lu 2.90, 1 Y 2.98
Te5 0.0000 0.0000 0.0000  2 Lu 3.03, 2 Y 3.16
Te6 0.0000 0.0000 0.5000  2 Lu 3.03, 2 Y 3.16

Output
As for the density of states at the Fermi level: 0.1436 states/eV/atom. The volume comes out at 37.9 Å³/atom. The excess energy over the best structure of this formula in the dataset comes out at 1.98 eV/f.u. Its space-group type is Cmcm. The total energy comes out at -50.77 eV per cell. The size of the total moment comes out at 0.000 μB/f.u.